# 1
This record from Alexandria via LeMat-Bulk describes crystalline RbTaS2 at its relaxed geometry. The functional is GGA-PBE.

Computed properties:
Total energy (eV/cell): -20.85
E_form (uncorrected) (eV/atom): 0.056

Cell and atoms, written as POSCAR:
```
RbTaS2
1.0
0.0000 3.4163 3.4163
3.4163 0.0000 3.4163
3.4163 3.4163 0.0000
Rb Ta S
1 1 2
Direct
0.0000 0.0000 0.0000
0.5000 0.5000 0.5000
0.2500 0.2500 0.2500
0.7500 0.7500 0.7500
```

# 2
This record from Alexandria via LeMat-Bulk describes crystalline Rb4TaS5 at its relaxed geometry. The functional is GGA-PBE.

Computed properties:
Total energy (eV/cell): -47.01
E_form (uncorrected) (eV/atom): -1.065

Cell and atoms, written as POSCAR:
```
Rb4TaS5
1.0
-5.0484 5.0484 3.3861
5.0484 -5.0484 3.3861
5.0484 5.0484 -3.3861
Rb Ta S
4 1 5
Direct
0.0966 0.7038 0.8003
0.2962 0.0966 0.3928
0.7038 0.9034 0.6072
0.9034 0.2962 0.1997
0.4225 0.4225 0.0000
0.0866 0.0866 0.0000
0.2873 0.4391 0.7083
0.4391 0.7308 0.1518
0.5790 0.2873 0.8482
0.7308 0.5790 0.2917
```

# 3
This record from Alexandria via LeMat-Bulk describes crystalline Rb4TaS4 at its relaxed geometry. The functional is GGA-PBE.

Computed properties:
Total energy (eV/cell): -84.15
E_form (uncorrected) (eV/atom): -1.093

Cell and atoms, written as POSCAR:
```
Rb4TaS4
1.0
9.4097 0.0000 0.0000
0.0000 9.4097 0.0000
0.0000 0.0000 7.1379
Rb Ta S
8 2 8
Direct
0.0275 0.2500 0.1057
0.2500 0.0275 0.6057
0.2500 0.4725 0.6057
0.4725 0.2500 0.1057
0.5275 0.7500 0.8943
0.7500 0.5275 0.3943
0.7500 0.9725 0.3943
0.9725 0.7500 0.8943
0.2500 0.7500 0.2500
0.7500 0.2500 0.7500
0.0371 0.7500 0.4214
0.2500 0.5371 0.0786
0.2500 0.9629 0.0786
0.4629 0.7500 0.4214
0.5371 0.2500 0.5786
0.7500 0.0371 0.9214
0.7500 0.4629 0.9214
0.9629 0.2500 0.5786
```

# 4
This record from Alexandria via LeMat-Bulk describes crystalline Rb2Ta2S at its relaxed geometry. The functional is GGA-PBE.

Computed properties:
Total energy (eV/cell): -44.93
E_form (uncorrected) (eV/atom): 1.460
Energy above the most stable polymorph in this dataset (meV/atom): 915.6

Cell and atoms, written as POSCAR:
```
Rb2Ta2S
1.0
10.8110 0.0000 0.0000
0.0000 10.8110 0.0000
0.0000 0.0000 3.0802
Rb Ta S
4 4 2
Direct
0.2135 0.2865 0.0000
0.2865 0.7865 0.0000
0.7135 0.2135 0.0000
0.7865 0.7135 0.0000
0.0748 0.5748 0.5000
0.4252 0.0748 0.5000
0.5748 0.9252 0.5000
0.9252 0.4252 0.5000
0.0000 0.0000 0.0000
0.5000 0.5000 0.0000
```